No. 1
! TaTl2W (PBEsol, optimized geometry); values from VASP
&SYSTEM
  ibrav = 0, nat = 4, ntyp = 3
/
ATOMIC_SPECIES
Tl 204.38 Tl.upf
Ta 180.95 Ta.upf
W 183.84 W.upf
CELL_PARAMETERS angstrom
-0.998 -0.598 2.776
-1.505 -1.467 -2.155
6.584 -7.770 0.692
ATOMIC_POSITIONS crystal
Tl 0.500 0.500 0.723
Tl 0.000 0.000 0.023
Ta 0.500 0.500 0.281
W 0.000 0.000 0.473
! **Polymorph energy (0 for the lowest one)**: 0.0000 eV/atom
! **Formation energy from the elements**: 48.1 kJ per mole of atoms

=====

No. 2
! InTeOF2 (PBEsol, optimized geometry); values from VASP
&SYSTEM
  ibrav = 0, nat = 5, ntyp = 4
/
ATOMIC_SPECIES
F 19.00 F.upf
Te 127.60 Te.upf
In 114.82 In.upf
O 16.00 O.upf
CELL_PARAMETERS angstrom
4.108 0.000 0.000
0.000 4.715 0.000
0.000 0.000 4.715
ATOMIC_POSITIONS crystal
F 0.000 0.500 0.000
Te 0.000 0.000 0.000
In 0.500 0.500 0.500
O 0.500 0.000 0.000
F 0.000 0.000 0.500
! **E_form (uncorrected)**: -1152 meV per atom

=====

No. 3
! ZrFeAu2 (PBEsol, optimized geometry); values from VASP
&SYSTEM
  ibrav = 0, nat = 4, ntyp = 3
/
ATOMIC_SPECIES
Zr 91.22 Zr.upf
Fe 55.84 Fe.upf
Au 196.97 Au.upf
CELL_PARAMETERS angstrom
-0.115 -1.173 -3.665
-3.398 -1.690 0.647
-2.003 3.608 -1.093
ATOMIC_POSITIONS crystal
Zr 0.000 0.000 0.500
Fe 0.500 0.500 0.500
Au 0.500 0.000 0.000
Au 0.000 0.500 0.000
! **Formation energy from the elements**: -20.1 kJ per mole of atoms

=====

No. 4
! Ge2OsSeI (PBEsol, optimized geometry); values from VASP
&SYSTEM
  ibrav = 0, nat = 5, ntyp = 4
/
ATOMIC_SPECIES
Ge 72.64 Ge.upf
Os 190.23 Os.upf
Se 78.96 Se.upf
I 126.90 I.upf
CELL_PARAMETERS angstrom
4.729 0.000 0.000
0.000 4.922 0.000
0.000 0.000 4.922
ATOMIC_POSITIONS crystal
Ge 0.000 0.000 0.500
Os 0.000 0.000 0.000
Se 0.500 0.000 0.000
I 0.500 0.500 0.500
Ge 0.000 0.500 0.000
! **E_form (uncorrected)**: 298 meV per atom